No. 1
CePrZnAg after structural relaxation, computed with PBE.

Calculated values
Density (g cm⁻³): 7.36
Energy above the most stable polymorph in this dataset (eV/atom): 0.0000
Total energy (eV/atom): -3.8974

abc: 3.7509 3.7509 7.2869
angles: 90.00 90.00 90.00
Closest atoms and distances in Å follow each position.
Atoms (fractional coordinates):
Ce1 0.5000 0.5000 0.1173  4 Zn 3.15, 4 Ag 3.23, 1 Pr 3.50
Pr1 0.5000 0.5000 0.5973  4 Zn 3.21, 4 Ag 3.29, 1 Ce 3.50
Zn1 0.0000 0.0000 0.3501  4 Ce 3.15, 4 Pr 3.21
Ag1 0.0000 0.0000 0.8633  4 Ce 3.23, 4 Pr 3.29, 1 Zn 3.55

No. 2
Tm12Si6C after structural relaxation, computed with PBE.

Calculated values
Raw formation energy (meV per atom): -443
Density (g cm⁻³): 7.55
Total energy (eV/atom): -5.4655

abc: 7.9661 7.9661 7.9661
angles: 98.77 98.77 98.77
Closest atoms and distances in Å follow each position.
Atoms (fractional coordinates):
Tm1 0.8145 0.5702 0.4333  4 Si 2.75-3.07
Tm2 0.4333 0.8145 0.5702  4 Si 2.75-3.07
Tm3 0.5702 0.4333 0.8145  4 Si 2.75-3.07
Tm4 0.1855 0.4298 0.5667  4 Si 2.75-3.07
Tm5 0.5667 0.1855 0.4298  4 Si 2.75-3.07
Tm6 0.4298 0.5667 0.1855  4 Si 2.75-3.07
Tm7 0.0670 0.9659 0.3062  1 C 2.48
Tm8 0.0341 0.6938 0.9330  1 C 2.48
Tm9 0.6938 0.9330 0.0341  1 C 2.48
Tm10 0.9330 0.0341 0.6938  1 C 2.48
Tm11 0.9659 0.3062 0.0670  1 C 2.48
Tm12 0.3062 0.0670 0.9659  1 C 2.48
Si1 0.7064 0.8737 0.3816  7 Tm 2.75-3.07
Si2 0.6184 0.2936 0.1263  7 Tm 2.75-3.07
Si3 0.1263 0.6184 0.2936  7 Tm 2.75-3.07
Si4 0.2936 0.1263 0.6184  7 Tm 2.75-3.07
Si5 0.3816 0.7064 0.8737  7 Tm 2.75-3.07
Si6 0.8737 0.3816 0.7064  7 Tm 2.75-3.07
C1 0.0000 0.0000 0.0000  6 Tm 2.48

No. 3
YSnCl2 after structural relaxation, computed with PBE.

Calculated values
Raw formation energy (meV per atom): -1013
Density (g cm⁻³): 4.40
Energy above the most stable polymorph in this dataset (eV/atom): 0.2039
Total energy (eV/atom): -4.5529

abc: 4.6870 4.6870 10.1371
angles: 76.63 76.63 90.00
Closest atoms and distances in Å follow each position.
Atoms (fractional coordinates):
Y1 0.5000 0.5000 0.0000  4 Cl 2.87
Y2 0.2500 0.7500 0.5000  4 Cl 2.87
Sn1 0.0000 0.0000 0.0000  4 Cl 2.96, 4 Y 3.31
Sn2 0.7500 0.2500 0.5000  4 Cl 2.96, 4 Y 3.31
Cl1 0.6003 0.1250 0.2500  2 Y 2.87, 2 Sn 2.96, 2 Cl 3.15
Cl2 0.1497 0.6250 0.2500  2 Y 2.87, 2 Sn 2.96, 2 Cl 3.15
Cl3 0.3750 0.3997 0.7500  2 Y 2.87, 2 Sn 2.96, 2 Cl 3.15
Cl4 0.8750 0.8503 0.7500  2 Y 2.87, 2 Sn 2.96, 2 Cl 3.15

Question: The lowest total energy belongs to which entry?
Answer: Tm12Si6C